# 1
Density functional theory data (GGA-PBE) for crystalline K2ZrBe at its relaxed geometry.

Unit cell a=6.936 b=6.936 c=3.047 alpha=90.00 beta=90.00 gamma=126.26
Atoms (fractional coordinates):
1 K 0.500 0.500 0.000
2 K 0.000 0.000 0.000
3 Be 0.000 0.500 0.500
4 Zr 0.500 0.000 0.500

***

# 2
Density functional theory data (GGA-PBE) for crystalline KZr2Be at its relaxed geometry.

Unit cell a=5.609 b=5.609 c=9.268 alpha=72.39 beta=72.39 gamma=90.00
Atoms (fractional coordinates):
1 Be 0.250 0.750 0.500
2 Be 0.500 0.500 0.000
3 Zr 0.875 0.626 0.750
4 Zr 0.376 0.125 0.250
5 Zr 0.374 0.625 0.250
6 Zr 0.375 0.624 0.750
7 K 0.750 0.250 0.500
8 K 0.000 0.000 0.000

***

# 3
Density functional theory data (GGA-PBE) for crystalline KZr2Be at its relaxed geometry.

Unit cell a=6.463 b=6.463 c=6.463 alpha=152.82 beta=129.89 gamma=57.94
Atoms (fractional coordinates):
1 Be 0.750 0.250 0.500
2 Zr 0.953 0.953 0.000
3 Zr 0.547 0.547 0.000
4 K 0.250 0.750 0.500

***

# 4
Density functional theory data (GGA-PBE) for crystalline KZr2Be at its relaxed geometry.

Unit cell a=10.635 b=10.635 c=10.635 alpha=18.10 beta=18.10 gamma=18.10
Atoms (fractional coordinates):
1 K 0.750 0.750 0.750
2 Be 0.250 0.250 0.250
3 Zr 0.530 0.530 0.530
4 Zr 0.970 0.970 0.970

***

# 5
Density functional theory data (GGA-PBE) for crystalline KZr2Be at its relaxed geometry.

Unit cell a=3.060 b=3.077 c=10.870 alpha=73.42 beta=90.00 gamma=90.00
Atoms (fractional coordinates):
1 Zr 0.000 0.591 0.408
2 Zr 0.000 0.909 0.092
3 Be 0.500 0.250 0.250
4 K 0.500 0.750 0.750

***

# 6
Density functional theory data (GGA-PBE) for crystalline K3ZrBe at its relaxed geometry.

Unit cell a=6.848 b=6.848 c=6.848 alpha=90.00 beta=90.00 gamma=90.00
Atoms (fractional coordinates):
1 K 0.000 0.500 0.000
2 K 0.000 0.000 0.500
3 K 0.500 0.000 0.000
4 Be 0.500 0.500 0.500
5 Zr 0.000 0.000 0.000

***

Number 1: ΔE_f 1.198 eV/atom. Number 2: ΔE_f 1.301 eV/atom. Number 3: ΔE_f 0.657 eV/atom. Number 4: ΔE_f 0.505 eV/atom. Number 5: ΔE_f 0.419 eV/atom. Number 6: ΔE_f 1.612 eV/atom.